(1)
SnHgB2N | GGA-PBE | relaxed

a b c (Å): 3.807 5.526 3.807
angles (deg): 90.00 90.00 90.00
Atoms (fractional coordinates):
N  0.000  0.000  0.000
Hg  0.000  0.500  0.000
B  0.000  0.000  0.500
B  0.500  0.000  0.000
Sn  0.500  0.500  0.500

Properties
SG = P4/mmm (123)
raw formation energy = 1.802 eV/atom

***

(2)
YThCSe | GGA-PBE | relaxed

a b c (Å): 3.782 3.782 7.301
angles (deg): 90.00 105.01 120.00
Atoms (fractional coordinates):
Se  0.961  0.379  0.355
Y  0.106  0.951  0.072
Th  0.505  0.150  0.670
C  0.306  0.551  0.872

Properties
SG = R3m (160)
raw formation energy = -1.080 eV/atom

***

(3)
Ta2PbCl | GGA-PBE | relaxed

a b c (Å): 10.997 10.997 10.997
angles (deg): 16.28 16.28 16.28
Atoms (fractional coordinates):
Cl  0.527  0.527  0.527
Ta  0.247  0.247  0.247
Ta  0.989  0.989  0.989
Pb  0.738  0.738  0.738

Properties
SG = R3m (160)
raw formation energy = -0.080 eV/atom
energy relative to the lowest polymorph listed for this composition = 0 meV per atom

***

(4)
Ho12Co6Au | GGA-PBE | relaxed

a b c (Å): 8.257 8.257 8.257
angles (deg): 109.47 109.47 109.47
Atoms (fractional coordinates):
Ho  0.700  0.893  0.194
Ho  0.194  0.700  0.893
Ho  0.300  0.107  0.806
Ho  0.806  0.700  0.506
Ho  0.506  0.806  0.700
Ho  0.893  0.194  0.700
Ho  0.700  0.506  0.806
Ho  0.194  0.300  0.494
Ho  0.494  0.194  0.300
Ho  0.806  0.300  0.107
Ho  0.107  0.806  0.300
Ho  0.300  0.494  0.194
Co  0.114  0.614  0.500
Co  0.386  0.500  0.886
Co  0.886  0.386  0.500
Co  0.500  0.886  0.386
Co  0.500  0.114  0.614
Co  0.614  0.500  0.114
Au  0.000  0.000  0.000

Properties
SG = Im-3 (204)

***

(5)
DyErMnTc | GGA-PBE | relaxed

a b c (Å): 4.896 4.896 4.896
angles (deg): 60.00 60.00 60.00
Atoms (fractional coordinates):
Er  0.750  0.750  0.750
Mn  0.000  0.000  0.000
Tc  0.500  0.500  0.500
Dy  0.250  0.250  0.250

Properties
SG = F-43m (216)

***

(6)
Tb2PrAl2Zn2 | GGA-PBE | relaxed

a b c (Å): 4.548 4.548 9.683
angles (deg): 76.42 76.42 60.00
Atoms (fractional coordinates):
Tb  0.129  0.129  0.613
Tb  0.871  0.871  0.387
Pr  0.000  0.000  0.000
Zn  0.595  0.595  0.216
Zn  0.405  0.405  0.784
Al  0.740  0.740  0.779
Al  0.260  0.260  0.221

Properties
SG = R-3m (166)

***

Number 1: E -16.98 eV for the cell shown, D(E_F) 1.938 states/eV per cell. Number 2: E -30.91 eV for the cell shown, D(E_F) 2.300 states/eV per cell. Number 3: E -29.58 eV for the cell shown, D(E_F) 3.019 states/eV per cell. Number 4: E -106.05 eV for the cell shown, D(E_F) 13.545 states/eV per cell. Number 5: E -28.27 eV for the cell shown, D(E_F) 3.743 states/eV per cell. Number 6: E -26.24 eV for the cell shown, D(E_F) 3.869 states/eV per cell.